Record 1
An optimized crystal structure of Ba2CuSi, computed with PBE.

The total magnetic moment comes out at 0.96 μB/f.u. The total energy comes out at -0.216 Ry/atom. The raw formation energy is 0.407 eV per atom.

It has space group I-42d (No. 122), with a = 6.553 Å, b = 6.553 Å, c = 17.564 Å, α = 90.00°, β = 90.00° and γ = 90.00°. Symmetry generates all atoms from Ba at (0.248, 0.250, 0.125), Cu at (0.000, 0.000, 0.500) and Si at (0.000, 0.000, 0.000).



Record 2
An optimized crystal structure of MgTePd2, computed with PBE.

The total magnetic moment comes out at 0.00 μB/f.u. The calculation puts the energy relative to the lowest polymorph listed for this composition at 35 meV/atom. The total energy comes out at -0.313 Ry/atom. The raw formation energy is -0.475 eV per atom.

It has space group Fm-3m (No. 225), with a = 6.609 Å, b = 6.609 Å, c = 6.609 Å, α = 90.00°, β = 90.00° and γ = 90.00°. Symmetry generates all atoms from Mg at (0.000, 0.000, 0.000), Te at (0.000, 0.000, 0.500) and Pd at (0.250, 0.250, 0.250).



Record 3
An optimized crystal structure of K2SiBPb, computed with PBE.

The total magnetic moment comes out at 2.22 μB/f.u. The total energy comes out at -0.196 Ry/atom. The raw formation energy is 0.941 eV per atom.

It has space group P4/mmm (No. 123), with a = 6.333 Å, b = 6.333 Å, c = 4.230 Å, α = 90.00°, β = 90.00° and γ = 90.00°. Symmetry generates all atoms from K at (0.000, 0.500, 0.000), Si at (0.000, 0.000, 0.500), B at (0.500, 0.500, 0.000) and Pb at (0.500, 0.500, 0.500).



Record 4
An optimized crystal structure of HfScAsN2, computed with PBE.

The total magnetic moment comes out at 0.00 μB/f.u. The total energy comes out at -0.455 Ry/atom. The raw formation energy is 1.326 eV per atom.

It has space group P4/mmm (No. 123), with a = 4.144 Å, b = 4.144 Å, c = 4.973 Å, α = 90.00°, β = 90.00° and γ = 90.00°. Symmetry generates all atoms from Hf at (0.000, 0.000, 0.000), Sc at (0.500, 0.500, 0.000), As at (0.000, 0.000, 0.500) and N at (0.000, 0.500, 0.500).